1.
A plane-wave DFT calculation with PBE-GGA was carried out for a geometry-optimized Ca2LaPt structure. Values from VASP.

Geometry as Quantum ESPRESSO input:
```
&SYSTEM
  ibrav = 0, nat = 16, ntyp = 3
/
ATOMIC_SPECIES
La 138.91 La.upf
Pt 195.08 Pt.upf
Ca 40.08 Ca.upf
ATOMIC_POSITIONS crystal
La 0.6437 0.5431 0.2500
La 0.8563 0.0431 0.2500
La 0.3563 0.4569 0.7500
La 0.1437 0.9569 0.7500
Pt 0.9576 0.6224 0.7500
Pt 0.4576 0.8776 0.2500
Pt 0.0424 0.3776 0.2500
Pt 0.5424 0.1224 0.7500
Ca 0.1631 0.6738 0.4332
Ca 0.3369 0.1738 0.4332
Ca 0.6631 0.8262 0.9332
Ca 0.1631 0.6738 0.0668
Ca 0.6631 0.8262 0.5668
Ca 0.8369 0.3262 0.5668
Ca 0.8369 0.3262 0.9332
Ca 0.3369 0.1738 0.0668
CELL_PARAMETERS angstrom
6.6069 0.0000 0.0000
0.0000 7.6886 0.0000
0.0000 0.0000 9.9029
```

Values from the calculation:
The calculation puts the total magnetization at 0.000 μB/atom. As for the crystal system: orthorhombic. The value obtained for the energy above the most stable polymorph in this dataset is 0.00 eV/f.u. The uncorrected energy is -4.35 eV per atom. The formation energy comes out at -0.61 eV per atom.

***

2.
A plane-wave DFT calculation with PBE-GGA was carried out for a geometry-optimized LaPm2Ni2 structure. Values from VASP.

Geometry as Quantum ESPRESSO input:
```
&SYSTEM
  ibrav = 0, nat = 10, ntyp = 3
/
ATOMIC_SPECIES
Ni 58.69 Ni.upf
Pm 145.00 Pm.upf
La 138.91 La.upf
ATOMIC_POSITIONS crystal
Ni 0.3110 0.3176 0.5099
Ni 0.0066 0.3176 0.0099
Ni 0.6890 0.6824 0.4901
Ni 0.9934 0.6824 0.9901
Pm 0.4409 0.6824 0.8474
Pm 0.7585 0.3176 0.6526
Pm 0.2415 0.6824 0.3474
Pm 0.5591 0.3176 0.1526
La 0.0784 0.0000 0.7500
La 0.9216 0.0000 0.2500
CELL_PARAMETERS angstrom
-2.8219 4.8330 -2.6429
2.8948 -4.3509 -3.8002
-6.4749 -3.2243 1.0173
```

Values from the calculation:
The calculation puts the total magnetization at 0.000 μB/atom. As for the crystal system: monoclinic. The value obtained for the energy above the most stable polymorph in this dataset is 0.00 eV/f.u. The uncorrected energy is -5.45 eV per atom. The formation energy comes out at -0.25 eV per atom.

***

3.
A plane-wave DFT calculation with PBE-GGA was carried out for a geometry-optimized Ba2CaMgCu structure. Values from VASP.

Geometry as Quantum ESPRESSO input:
```
&SYSTEM
  ibrav = 0, nat = 5, ntyp = 4
/
ATOMIC_SPECIES
Ca 40.08 Ca.upf
Ba 137.33 Ba.upf
Mg 24.30 Mg.upf
Cu 63.55 Cu.upf
ATOMIC_POSITIONS crystal
Ca 0.5000 0.5000 0.5000
Ba 0.5000 0.0000 0.0000
Ba 0.0000 0.5000 0.0000
Mg 0.0000 0.0000 0.5000
Cu 0.0000 0.0000 0.0000
CELL_PARAMETERS angstrom
6.3233 0.0000 0.0000
0.0000 6.3233 0.0000
0.0000 0.0000 5.1874
```

Values from the calculation:
The calculation puts the total magnetization at 0.000 μB/atom. As for the crystal system: tetragonal. The value obtained for the energy above the most stable polymorph in this dataset is 0.00 eV/f.u. The uncorrected energy is -2.25 eV per atom. The formation energy comes out at 0.06 eV per atom.

***

4.
A plane-wave DFT calculation with PBE-GGA was carried out for a geometry-optimized ZrZnNF2 structure. Values from VASP.

Geometry as Quantum ESPRESSO input:
```
&SYSTEM
  ibrav = 0, nat = 5, ntyp = 4
/
ATOMIC_SPECIES
Zr 91.22 Zr.upf
N 14.01 N.upf
F 19.00 F.upf
Zn 65.41 Zn.upf
ATOMIC_POSITIONS crystal
Zr 0.5000 0.5000 0.5000
N 0.0000 0.0000 0.5000
F 0.0000 0.5000 0.0000
F 0.5000 0.0000 0.0000
Zn 0.0000 0.0000 0.0000
CELL_PARAMETERS angstrom
-3.0284 -0.2514 -2.1656
2.1543 -0.9136 -2.9067
-0.4088 -4.4134 1.0842
```

Values from the calculation:
The calculation puts the total magnetization at 0.114 μB/atom. As for the crystal system: tetragonal. The value obtained for the energy above the most stable polymorph in this dataset is 2.80 eV/f.u. The uncorrected energy is -5.40 eV per atom. As for the formation energy from raw total energies: -1023 meV per atom.

***

5.
A plane-wave DFT calculation with PBE-GGA was carried out for a geometry-optimized Ca2ScPb structure. Values from VASP.

Geometry as Quantum ESPRESSO input:
```
&SYSTEM
  ibrav = 0, nat = 4, ntyp = 3
/
ATOMIC_SPECIES
Ca 40.08 Ca.upf
Pb 207.20 Pb.upf
Sc 44.96 Sc.upf
ATOMIC_POSITIONS crystal
Ca 0.7805 0.7805 0.7193
Ca 0.9950 0.9950 0.0052
Pb 0.5138 0.5138 0.4864
Sc 0.2108 0.2108 0.2891
CELL_PARAMETERS angstrom
6.6193 -0.0764 0.0208
5.4263 3.7916 0.0208
2.1958 0.6772 4.8930
```

Values from the calculation:
The calculation puts the total magnetization at 0.000 μB/atom. As for the crystal system: orthorhombic. The uncorrected energy is -3.70 eV per atom. The formation energy comes out at -0.19 eV per atom.

***

6.
A plane-wave DFT calculation with PBE-GGA was carried out for a geometry-optimized PaCuNiPt structure. Values from VASP.

Geometry as Quantum ESPRESSO input:
```
&SYSTEM
  ibrav = 0, nat = 4, ntyp = 4
/
ATOMIC_SPECIES
Pt 195.08 Pt.upf
Pa 231.04 Pa.upf
Cu 63.55 Cu.upf
Ni 58.69 Ni.upf
ATOMIC_POSITIONS crystal
Pt 0.0000 0.0000 0.0000
Pa 0.2500 0.2500 0.2500
Cu 0.7500 0.7500 0.7500
Ni 0.5000 0.5000 0.5000
CELL_PARAMETERS angstrom
4.6019 0.0000 0.0000
2.3009 3.9853 0.0000
2.3009 1.3284 3.7574
```

Values from the calculation:
The calculation puts the total magnetization at 0.000 μB/atom. As for the crystal system: cubic. The uncorrected energy is -6.75 eV per atom. The formation energy comes out at -0.40 eV per atom.

***

Let's list volume in order: 31.4, 25.1, 41.5, 12.7, 31.2, 17.2 A^3/atom.